(1)
First-principles (GGA-PBE) data for an optimized crystal structure of Y3PbSeS, as listed in Alexandria.

Computed properties:
For the volume, the calculation gives 26.565 Å³/atom. The value obtained for the mass density is 6.09 g/cm3. The formation energy (no corrections) is -1417 meV per atom.

Unit cell a=7.1594 b=4.1876 c=10.8882 alpha=90.00 beta=102.44 gamma=90.00
Last column: nearest neighbours and their distance in Å.
Space group P2_1/m (No. 11)
Asymmetric unit:
Y 0.0472 0.2500 0.1605 (multiplicity 2)  1 S 2.76, 3 Se 2.95-2.97
Y 0.2444 0.2500 0.5075 (multiplicity 2)  3 S 2.76-2.78
Y 0.4444 0.7500 0.8281 (multiplicity 2)  1 S 2.74, 3 Se 2.98-3.01
Pb 0.3446 0.7500 0.3079 (multiplicity 2)  7 Y 3.13-3.21
Se 0.2370 0.2500 0.9453 (multiplicity 2)  6 Y 2.95-3.01
S 0.1263 0.7500 0.6368 (multiplicity 2)  5 Y 2.74-2.78


(2)
First-principles (GGA-PBE) data for an optimized crystal structure of Ba4CaHf3O12, as listed in Alexandria.

Computed properties:
For the volume, the calculation gives 15.596 Å³/atom. The value obtained for the mass density is 7.01 g/cm3. The formation energy (no corrections) is -3003 meV per atom.

Unit cell a=8.5446 b=8.5446 c=8.5446 alpha=90.00 beta=90.00 gamma=90.00
Last column: nearest neighbours and their distance in Å.
Space group Im-3m (No. 229)
Asymmetric unit:
Ba 0.2500 0.2500 0.2500 (multiplicity 8)  12 O 3.02
Ca 0.0000 0.0000 0.0000 (multiplicity 2)  6 O 2.25
Hf 0.0000 0.0000 0.5000 (multiplicity 6)  6 O 2.02-2.14
O 0.0000 0.0000 0.2636 (multiplicity 12)  1 Hf 2.02, 1 Ca 2.25
O 0.0000 0.2500 0.5000 (multiplicity 12)  2 Hf 2.14


(3)
First-principles (GGA-PBE) data for an optimized crystal structure of Li2DyY2Tl2, as listed in Alexandria.

Computed properties:
The formation enthalpy at 0 K is -0.191 eV/atom. For the volume, the calculation gives 25.811 Å³/atom. The value obtained for the mass density is 7.01 g/cm3.

Unit cell a=4.8068 b=4.8068 c=27.0875 alpha=90.00 beta=90.00 gamma=120.00
Last column: nearest neighbours and their distance in Å.
Space group R-3m (No. 166, hexagonal axes)
Asymmetric unit:
Li 0.0000 0.0000 0.1038 (multiplicity 6)  3 Tl 2.78
Dy 0.0000 0.0000 0.5000 (multiplicity 3)  6 Li 3.26, 6 Tl 3.37, 2 Y 3.43
Y 0.0000 0.0000 0.3734 (multiplicity 6)  3 Tl 3.16, 3 Li 3.27, 1 Dy 3.43, 3 Y 3.52
Tl 0.0000 0.0000 0.2373 (multiplicity 6)  3 Li 2.78


(4)
First-principles (GGA-PBE) data for an optimized crystal structure of Ge2TeSe, as listed in Alexandria.

Computed properties:
For the volume, the calculation gives 34.863 Å³/atom. The value obtained for the mass density is 4.19 g/cm3. The value obtained for the offset from the most stable computed form is 222 meV/atom. The formation energy (no corrections) is 84 meV per atom.

Unit cell a=6.4276 b=6.4276 c=13.5018 alpha=90.00 beta=90.00 gamma=90.00
Last column: nearest neighbours and their distance in Å.
Space group I-42d (No. 122)
Asymmetric unit:
Ge 0.2237 0.2500 0.1250 (multiplicity 8)  2 Se 2.74, 2 Te 2.93
Te 0.0000 0.0000 0.5000 (multiplicity 4)  4 Ge 2.93
Se 0.0000 0.0000 0.0000 (multiplicity 4)  4 Ge 2.74


(5)
First-principles (GGA-PBE) data for an optimized crystal structure of Pm3GaSb, as listed in Alexandria.

Computed properties:
For the volume, the calculation gives 29.255 Å³/atom. The value obtained for the mass density is 7.11 g/cm3. The value obtained for the offset from the most stable computed form is 0 meV/atom. The formation energy (no corrections) is -684 meV per atom.

Unit cell a=16.1249 b=4.1851 c=8.6877 alpha=90.00 beta=93.62 gamma=90.00
Last column: nearest neighbours and their distance in Å.
Space group C2/m (No. 12)
Asymmetric unit:
Pm 0.0455 0.0000 0.1974 (multiplicity 4)  1 Ga 3.24, 4 Sb 3.32-3.37
Pm 0.0960 0.5000 0.5579 (multiplicity 4)  3 Ga 3.04-3.12, 1 Pm 3.19, 1 Sb 3.24
Pm 0.2411 0.0000 0.8104 (multiplicity 4)  3 Ga 3.09-3.31, 3 Sb 3.21-3.23
Ga 0.2102 0.0000 0.4301 (multiplicity 4)  2 Ga 2.70
Sb 0.1075 0.5000 0.9313 (multiplicity 4)  8 Pm 3.21-3.37


(6)
First-principles (GGA-PBE) data for an optimized crystal structure of LiZn4Ag8, as listed in Alexandria.

Computed properties:
The formation enthalpy at 0 K is 0.212 eV/atom. For the volume, the calculation gives 19.899 Å³/atom. The value obtained for the mass density is 7.26 g/cm3.

Unit cell a=10.1146 b=10.1146 c=10.1146 alpha=90.00 beta=90.00 gamma=90.00
Last column: nearest neighbours and their distance in Å.
Space group F-43m (No. 216)
Asymmetric unit:
Li 0.0000 0.0000 0.0000 (multiplicity 4)  4 Ag 2.58
Zn 0.0968 0.0968 0.4032 (multiplicity 16)  6 Ag 2.64-2.69, 3 Zn 2.77
Ag 0.1470 0.1470 0.1470 (multiplicity 16)  1 Li 2.58, 3 Zn 2.69
Ag 0.1521 0.1521 0.6521 (multiplicity 16)  3 Zn 2.64, 3 Ag 2.80


(7)
First-principles (GGA-PBE) data for an optimized crystal structure of SrMg6Ag6, as listed in Alexandria.

Computed properties:
The formation enthalpy at 0 K is -0.192 eV/atom. For the volume, the calculation gives 21.155 Å³/atom. The value obtained for the mass density is 5.32 g/cm3.

Unit cell a=5.6690 b=9.6641 c=10.0397 alpha=90.00 beta=90.00 gamma=90.00
Last column: nearest neighbours and their distance in Å.
Space group Immm (No. 71)
Asymmetric unit:
Sr 0.0000 0.0000 0.0000 (multiplicity 2)  8 Mg 3.33-3.52, 4 Ag 3.58
Mg 0.0000 0.0000 0.3505 (multiplicity 4)  6 Ag 2.98-3.04, 3 Mg 3.00-3.20
Mg 0.0000 0.3450 0.0000 (multiplicity 4)  3 Mg 3.00-3.34, 6 Ag 3.03-3.06, 1 Sr 3.33
Mg 0.0000 0.5000 0.2978 (multiplicity 4)  6 Ag 2.84-2.98
Ag 0.0000 0.2736 0.5000 (multiplicity 4)  4 Ag 2.89, 6 Mg 2.98-3.06
Ag 0.2500 0.2500 0.2500 (multiplicity 8)  4 Ag 2.83-2.89, 6 Mg 2.84-3.03


(8)
First-principles (GGA-PBE) data for an optimized crystal structure of Te2Pd, as listed in Alexandria.

Computed properties:
For the volume, the calculation gives 26.638 Å³/atom. The value obtained for the mass density is 7.51 g/cm3. The formation energy (no corrections) is -302 meV per atom.

Unit cell a=4.0552 b=7.1194 c=11.0720 alpha=90.00 beta=90.00 gamma=90.00
Last column: nearest neighbours and their distance in Å.
Space group Cmce (No. 64)
Asymmetric unit:
Te 0.0000 0.1732 0.1240 (multiplicity 8)  3 Pd 2.70-2.74
Pd 0.0000 0.0000 0.5000 (multiplicity 4)  6 Te 2.70-2.74